Compound: Ta3Al
Source: Alexandria via LeMat-Bulk
Functional: PBE-GGA
Structure: optimized geometry

Unit cell a=9.937 b=9.937 c=9.937 alpha=16.87 beta=16.87 gamma=16.87
Fractional coordinates of all 4 atoms:
1 Ta 0.747 0.747 0.747
2 Al 0.000 0.000 0.000
3 Ta 0.500 0.500 0.500
4 Ta 0.253 0.253 0.253

Results
Total energy = -9.7277 eV/atom
Space-group type = No. 166
Energy relative to the elements = 0.10 eV per atom